Record 1
First-principles (PBE) data for crystalline Ba2SrAg at its relaxed geometry, as listed in Alexandria via LeMat-Bulk.

a = 9.0438 Å, b = 9.0438 Å, c = 9.0438 Å
α = 90.00°, β = 90.00°, γ = 90.00°
Closest atoms and distances in Å follow each position.
Space group Fm-3m (No. 225)
Unique sites:
Ba1 0.2500 0.2500 0.2500 [8 per cell]  4 Sr 3.92, 4 Ag 3.92
Sr1 0.0000 0.0000 0.0000 [4 per cell]  8 Ba 3.92
Ag1 0.0000 0.0000 0.5000 [4 per cell]  8 Ba 3.92

Output
The value obtained for the energy of formation from the pure elements is 0.5 eV/f.u. The value obtained for the total energy is -31.64 eV/cell.

Record 2
First-principles (PBE) data for crystalline Mn2BePt2 at its relaxed geometry, as listed in Alexandria via LeMat-Bulk.

a = 5.9395 Å, b = 5.9395 Å, c = 4.2577 Å
α = 90.00°, β = 90.00°, γ = 90.00°
Closest atoms and distances in Å follow each position.
Space group P4/mbm (No. 127)
Unique sites:
Mn1 0.1636 0.3364 0.0000 [4 per cell]  6 Pt 2.62-2.85, 1 Mn 2.75
Be1 0.0000 0.0000 0.5000 [2 per cell]  4 Pt 2.25
Pt1 0.1548 0.6548 0.5000 [4 per cell]  2 Be 2.25

Output
The value obtained for the energy of formation from the pure elements is -1.1 eV/f.u. The value obtained for the total energy is -70.44 eV/cell.

Record 3
First-principles (PBE) data for crystalline SiWSN2 at its relaxed geometry, as listed in Alexandria via LeMat-Bulk.

a = 3.9055 Å, b = 3.9055 Å, c = 4.9707 Å
α = 90.00°, β = 90.00°, γ = 90.00°
Closest atoms and distances in Å follow each position.
Space group P4/mmm (No. 123)
Unique sites:
Si1 0.0000 0.0000 0.0000 [1 per cell]  4 S 2.76
W1 0.5000 0.5000 0.5000 [1 per cell]  4 N 1.95
S1 0.5000 0.5000 0.0000 [1 per cell]  2 W 2.49, 4 Si 2.76
N1 0.0000 0.5000 0.5000 [2 per cell]  2 W 1.95

Output
The raw formation energy is 0.48 eV per atom. The value obtained for the total energy is -36.74 eV/cell.

Record 4
First-principles (PBE) data for crystalline InGa2PbCl8 at its relaxed geometry, as listed in Alexandria via LeMat-Bulk.

a = 7.6496 Å, b = 7.6496 Å, c = 8.7543 Å
α = 90.00°, β = 90.00°, γ = 120.00°
Closest atoms and distances in Å follow each position.
Space group P-3 (No. 147)
Unique sites:
In1 0.0000 0.0000 0.0000 [1 per cell]  6 Cl 3.36
Ga1 0.3333 0.6667 0.8069 [2 per cell]  4 Cl 2.19-2.29
Pb1 0.0000 0.0000 0.5000 [1 per cell]  6 Cl 2.95
Cl1 0.1685 0.3420 0.7163 [6 per cell]  1 Ga 2.29
Cl2 0.3333 0.6667 0.0572 [2 per cell]  1 Ga 2.19

Output
The raw formation energy is -0.97 eV per atom. The value obtained for the total energy is -38.85 eV/cell.

Record 5
First-principles (PBE) data for crystalline Ac3B2RuN6 at its relaxed geometry, as listed in Alexandria via LeMat-Bulk.

a = 5.5280 Å, b = 5.5280 Å, c = 6.5746 Å
α = 90.00°, β = 90.00°, γ = 120.00°
Closest atoms and distances in Å follow each position.
Space group P-3m1 (No. 164)
Unique sites:
Ac1 0.0000 0.0000 0.0000 [1 per cell]  6 N 2.58
Ac2 0.3333 0.6667 0.6768 [2 per cell]  1 B 2.61, 9 N 2.77-2.92
B1 0.3333 0.6667 0.2795 [2 per cell]  3 N 1.48
Ru1 0.0000 0.0000 0.5000 [1 per cell]  6 N 2.19
N1 0.1796 0.3591 0.2930 [6 per cell]  1 B 1.48

Output
The raw formation energy is -0.80 eV per atom. The value obtained for the total energy is -94.53 eV/cell.

Record 6
First-principles (PBE) data for crystalline Li6GaIr at its relaxed geometry, as listed in Alexandria via LeMat-Bulk.

a = 5.2009 Å, b = 8.9107 Å, c = 5.0914 Å
α = 90.00°, β = 96.43°, γ = 90.00°
Closest atoms and distances in Å follow each position.
Space group C2/m (No. 12)
Unique sites:
Li1 0.0124 0.0000 0.2636 [4 per cell]  6 Li 2.43-2.67, 1 Ir 2.68
Li2 0.2397 0.2470 0.7358 [8 per cell]  6 Li 2.42-2.68
Ga1 0.0000 0.5000 0.0000 [2 per cell]  2 Ir 2.55, 6 Li 2.84-2.85
Ir1 0.0000 0.5000 0.5000 [2 per cell]  2 Ga 2.55, 6 Li 2.68-2.78

Output
The value obtained for the energy of formation from the pure elements is -1.1 eV/f.u. The value obtained for the total energy is -48.99 eV/cell.

Repeat the fifth record exactly.
First-principles (PBE) data for crystalline Ac3B2RuN6 at its relaxed geometry, as listed in Alexandria via LeMat-Bulk.

a = 5.5280 Å, b = 5.5280 Å, c = 6.5746 Å
α = 90.00°, β = 90.00°, γ = 120.00°
Closest atoms and distances in Å follow each position.
Space group P-3m1 (No. 164)
Unique sites:
Ac1 0.0000 0.0000 0.0000 [1 per cell]  6 N 2.58
Ac2 0.3333 0.6667 0.6768 [2 per cell]  1 B 2.61, 9 N 2.77-2.92
B1 0.3333 0.6667 0.2795 [2 per cell]  3 N 1.48
Ru1 0.0000 0.0000 0.5000 [1 per cell]  6 N 2.19
N1 0.1796 0.3591 0.2930 [6 per cell]  1 B 1.48

Output
The raw formation energy is -0.80 eV per atom. The value obtained for the total energy is -94.53 eV/cell.